# YTiMo2O (GGA+U, optimized geometry)
# D(E_F)	0.70	states/eV per atom
# total energy	-6.324	eV/atom
# size of the total moment	7.34	Bohr magnetons per cell
# calculated volume	115.2	Å³ per cell
# crystal system	tetragonal
data_YTiMo2O
_chemical_formula_sum 'Y1 Ti1 Mo2 O1'
_space_group_name_H-M_alt 'P 4/m m m'
_space_group_IT_number 123
_space_group_name_Hall '-P 4 2'
_cell_length_a 5.5721
_cell_length_b 5.5721
_cell_length_c 3.7092
_cell_angle_alpha 90.00
_cell_angle_beta 90.00
_cell_angle_gamma 90.00
loop_
_atom_site_label
_atom_site_type_symbol
_atom_site_fract_x
_atom_site_fract_y
_atom_site_fract_z
Y1 Y 0.0000 0.0000 0.0000
Ti1 Ti 0.5000 0.5000 0.5000
Mo1 Mo 0.0000 0.5000 0.5000
O1 O 0.5000 0.5000 0.0000